Crystalline CePr5Te8 at its relaxed geometry. Source: Alexandria via LeMat-Bulk, functional PBE.

abc: 8.313 8.313 8.313
angles: 109.55 109.55 109.31
Fractional positions:
Ce  0.000  0.000  0.000
Pr  0.124  0.494  0.871
Pr  0.250  0.750  0.500
Pr  0.506  0.377  0.630
Pr  0.623  0.253  0.129
Pr  0.747  0.876  0.370
Te  0.027  0.276  0.399
Te  0.224  0.125  0.749
Te  0.372  0.973  0.249
Te  0.376  0.475  0.251
Te  0.525  0.776  0.901
Te  0.724  0.124  0.751
Te  0.875  0.624  0.099
Te  0.876  0.628  0.601

## Properties
Raw total energy = -5.364 eV per atom
Density of states at the Fermi level = 15.2 states/eV per cell
Formation energy (no corrections) = -1.44 eV per atom
Crystal system = tetragonal

Crystalline Ti7Pd12Rh at its relaxed geometry. Source: Alexandria via LeMat-Bulk, functional PBE.

abc: 7.256 7.256 7.256
angles: 107.25 107.25 107.25
Fractional positions:
Ti  0.000  0.000  0.000
Ti  0.081  0.405  0.303
Ti  0.303  0.081  0.405
Ti  0.405  0.303  0.081
Ti  0.595  0.697  0.919
Ti  0.697  0.919  0.595
Ti  0.919  0.595  0.697
Pd  0.009  0.692  0.112
Pd  0.112  0.009  0.692
Pd  0.214  0.410  0.678
Pd  0.308  0.888  0.991
Pd  0.322  0.786  0.590
Pd  0.410  0.678  0.214
Pd  0.590  0.322  0.786
Pd  0.678  0.214  0.410
Pd  0.692  0.112  0.009
Pd  0.786  0.590  0.322
Pd  0.888  0.991  0.308
Pd  0.991  0.308  0.888
Rh  0.500  0.500  0.500

## Properties
Raw total energy = -6.762 eV per atom
Density of states at the Fermi level = 15.4 states/eV per cell
Crystal system = trigonal
ΔE_f = -0.52 eV/atom

Crystalline MgSiAg at its relaxed geometry. Source: Alexandria via LeMat-Bulk, functional PBE.

abc: 6.578 6.550 2.906
angles: 77.75 76.68 25.58
Fractional positions:
Mg  0.000  0.000  0.000
Si  0.662  0.662  0.338
Ag  0.330  0.330  0.670

## Properties
Raw total energy = -3.180 eV per atom
Density of states at the Fermi level = 1.1 states/eV per cell
Formation energy (no corrections) = 0.11 eV per atom
Crystal system = orthorhombic

Crystalline K2LaW at its relaxed geometry. Source: Alexandria via LeMat-Bulk, functional PBE.

abc: 13.791 13.791 13.791
angles: 13.14 13.14 13.14
Fractional positions:
K  0.240  0.240  0.240
K  0.760  0.760  0.760
La  0.000  0.000  0.000
W  0.500  0.500  0.500

## Properties
Raw total energy = -3.666 eV per atom
Energy relative to the lowest polymorph listed for this composition = 175 kJ/mol of formula units
Density of states at the Fermi level = 4.6 states/eV per cell
Crystal system = trigonal
ΔE_f = 1.35 eV/atom